[1]
The following is a DFT calculation (PBEsol) of RbSb2C2O4F5 after structural relaxation.

Unit cell a=5.8911 b=6.3664 c=22.9386 alpha=90.00 beta=90.00 gamma=90.00
Fractional coordinates of all 56 atoms:
C: 0.8217 0.6166 0.7550
C: 0.3217 0.8834 0.2450
C: 0.6783 0.3834 0.2550
C: 0.1783 0.1166 0.7450
C: 0.6716 0.4306 0.7366
C: 0.1716 0.0694 0.2634
C: 0.8284 0.5694 0.2366
C: 0.3284 0.9306 0.7634
F: 0.7270 0.7041 0.5993
F: 0.2270 0.7959 0.4007
F: 0.7730 0.2959 0.0993
F: 0.2730 0.2041 0.9007
F: 0.0479 0.5653 0.5300
F: 0.5479 0.9347 0.4700
F: 0.4521 0.4347 0.0300
F: 0.9521 0.0653 0.9700
F: 0.7924 0.2775 0.5769
F: 0.2924 0.2225 0.4231
F: 0.7076 0.7225 0.0769
F: 0.2076 0.7775 0.9231
F: 0.7013 0.7383 0.9172
F: 0.2013 0.7617 0.0828
F: 0.7987 0.2617 0.4172
F: 0.2987 0.2383 0.5828
F: 0.7667 0.3350 0.8889
F: 0.2667 0.1650 0.1111
F: 0.7333 0.6650 0.3889
F: 0.2333 0.8350 0.6111
O: 0.6820 0.3674 0.6846
O: 0.1820 0.1326 0.3154
O: 0.8180 0.6326 0.1846
O: 0.3180 0.8674 0.8154
O: 0.5433 0.3542 0.7757
O: 0.0433 0.1458 0.2243
O: 0.9567 0.6458 0.2757
O: 0.4567 0.8542 0.7243
O: 0.7965 0.6751 0.8090
O: 0.2965 0.8249 0.1910
O: 0.7035 0.3249 0.3090
O: 0.2035 0.1751 0.6910
O: 0.9542 0.6985 0.7202
O: 0.4542 0.8015 0.2798
O: 0.5458 0.3015 0.2202
O: 0.0458 0.1985 0.7798
Rb: 0.9891 0.4940 0.9971
Rb: 0.4891 0.0060 0.0029
Rb: 0.5109 0.5060 0.4971
Rb: 0.0109 0.9940 0.5029
Sb: 0.9793 0.5032 0.6151
Sb: 0.4793 0.9968 0.3849
Sb: 0.5207 0.4968 0.1151
Sb: 0.0207 0.0032 0.8849
Sb: 0.5363 0.5424 0.8599
Sb: 0.0363 0.9576 0.1401
Sb: 0.9637 0.4576 0.3599
Sb: 0.4637 0.0424 0.6401

Values from the calculation:
- volume (Å³/cell) = 860
- raw total energy (eV per cell) = -345.93
- space group = No. 19
- E_form (uncorrected) (eV/atom) = -1.89

[2]
The following is a DFT calculation (PBEsol) of LiMnCu3 after structural relaxation.

Unit cell a=4.5037 b=4.5037 c=4.5037 alpha=90.00 beta=90.00 gamma=90.00
Last column: magnetic moment on the atom in μB.
Fractional coordinates of all 5 atoms:
Mn: 0.0000 0.0000 0.0000  3.48
Cu: 0.0000 0.5000 0.0000  0.21
Cu: 0.0000 0.0000 0.5000  0.21
Cu: 0.5000 0.0000 0.0000  0.21
Li: 0.5000 0.5000 0.5000  -0.01

Values from the calculation:
- ΔE to the lowest computed polymorph (meV/atom) = 177
- formation energy (kJ/mol of atoms) = 92.18
- volume (Å³/cell) = 91
- raw total energy (eV per cell) = -19.95
- space group = No. 221

[3]
The following is a DFT calculation (PBEsol) of RbLi3Cu after structural relaxation.

Unit cell a=5.1392 b=5.1392 c=5.1392 alpha=90.00 beta=90.00 gamma=90.00
Fractional coordinates of all 5 atoms:
Cu: 0.0000 0.0000 0.0000
Rb: 0.5000 0.5000 0.5000
Li: 0.0000 0.5000 0.0000
Li: 0.0000 0.0000 0.5000
Li: 0.5000 0.0000 0.0000

Values from the calculation:
- ΔE to the lowest computed polymorph (meV/atom) = 0
- formation energy (kJ/mol of atoms) = 23.19
- volume (Å³/cell) = 136
- raw total energy (eV per cell) = -10.06
- space group = No. 221

[4]
The following is a DFT calculation (PBEsol) of SrBe2Pb after structural relaxation.

Unit cell a=4.2042 b=4.8059 c=4.7502 alpha=90.00 beta=90.00 gamma=90.00
Fractional coordinates of all 4 atoms:
Pb: 0.5000 0.0000 0.0000
Sr: 0.5000 0.5000 0.5000
Be: 0.0000 0.0000 0.7324
Be: 0.0000 0.0000 0.2676

Values from the calculation:
- formation energy (kJ/mol of atoms) = 27.16
- volume (Å³/cell) = 96
- raw total energy (eV per cell) = -12.71
- space group = No. 47

The evaluated spin magnetization for the records listed, in turn: 0.0, 4.1, 0.0, 0.0 Bohr magnetons per cell.